No. 1
Be2CdOs, relaxed, DFT GGA-PBE; space-group type = No. 160; raw total energy = -17.71 eV/cell
1.0
1.3763 0.7946 8.2717
-1.3763 0.7946 8.2717
0.0000 -1.5892 8.2717
Be Cd Os
2 1 1
direct
0.0000 0.0000 0.0000
0.2638 0.2638 0.2638
0.7576 0.7576 0.7576
0.5265 0.5265 0.5265

=====

No. 2
Cs7Sb2H2, relaxed, DFT GGA-PBE; space-group type = No. 65; raw total energy = -22.92 eV/cell
1.0
4.7658 -6.7726 0.0000
4.7658 6.7726 0.0000
0.0000 0.0000 8.0794
Cs Sb H
7 2 2
direct
0.0000 0.0000 0.0000
0.0000 0.5000 0.2513
0.0000 0.5000 0.7487
0.5000 0.0000 0.2513
0.5000 0.0000 0.7487
0.5000 0.5000 0.2407
0.5000 0.5000 0.7593
0.1613 0.1613 0.5000
0.8387 0.8387 0.5000
0.2970 0.7030 0.0000
0.7030 0.2970 0.0000

=====

No. 3
Cs3Sc3PaSe8, relaxed, DFT GGA-PBE; space-group type = No. 166; raw total energy = -82.37 eV/cell
1.0
4.0489 2.3376 8.4671
-4.0489 2.3376 8.4671
0.0000 -4.6752 8.4671
Cs Sc Pa Se
3 3 1 8
direct
0.0000 0.5000 0.5000
0.5000 0.0000 0.5000
0.5000 0.5000 0.0000
0.0000 0.0000 0.5000
0.0000 0.5000 0.0000
0.5000 0.0000 0.0000
0.5000 0.5000 0.5000
0.2161 0.7320 0.7320
0.2250 0.2250 0.2250
0.2680 0.2680 0.7839
0.2680 0.7839 0.2680
0.7320 0.2161 0.7320
0.7320 0.7320 0.2161
0.7750 0.7750 0.7750
0.7839 0.2680 0.2680

=====

No. 4
TbLu2Co, relaxed, DFT GGA-PBE; space-group type = No. 123; energy above the most stable polymorph in this dataset = 0 meV per atom; raw total energy = -21.25 eV/cell
1.0
3.3257 0.0000 0.0000
0.0000 3.3257 0.0000
0.0000 0.0000 8.7109
Tb Lu Co
1 2 1
direct
0.0000 0.0000 0.0000
0.5000 0.5000 0.3189
0.5000 0.5000 0.6811
0.0000 0.0000 0.5000

=====

No. 5
LaPr2Ag, relaxed, DFT GGA-PBE; space-group type = No. 160; energy above the most stable polymorph in this dataset = 127 meV per atom; raw total energy = -17.26 eV/cell
1.0
1.8640 1.0762 10.9585
-1.8640 1.0762 10.9585
0.0000 -2.1524 10.9585
La Pr Ag
1 2 1
direct
0.0000 0.0000 0.0000
0.5730 0.5730 0.5730
0.7619 0.7619 0.7619
0.1676 0.1676 0.1676

=====

No. 6
TbCdCu, relaxed, DFT GGA-PBE; space-group type = No. 187; raw total energy = -10.29 eV/cell
1.0
4.6794 0.0000 0.0000
-2.3397 4.0525 0.0000
0.0000 0.0000 3.3995
Tb Cd Cu
1 1 1
direct
0.0000 0.0000 0.0000
0.3333 0.6667 0.5000
0.6667 0.3333 0.5000

=====

No. 7
Pm2YTl, relaxed, DFT GGA-PBE; space-group type = No. 225; energy above the most stable polymorph in this dataset = 149 meV per atom; raw total energy = -18.54 eV/cell
1.0
0.0000 3.9418 3.9418
3.9418 0.0000 3.9418
3.9418 3.9418 0.0000
Pm Y Tl
2 1 1
direct
0.2500 0.2500 0.2500
0.7500 0.7500 0.7500
0.0000 0.0000 0.0000
0.5000 0.5000 0.5000

=====

No. 8
ZrPt2W, relaxed, DFT GGA-PBE; space-group type = No. 122; raw total energy = -66.35 eV/cell
1.0
-2.0111 2.0111 9.2403
2.0111 -2.0111 9.2403
2.0111 2.0111 -9.2403
Zr Pt W
2 4 2
direct
0.0000 0.0000 0.0000
0.7500 0.2500 0.5000
0.1358 0.6250 0.0108
0.3750 0.3858 0.5108
0.6142 0.1250 0.9892
0.8750 0.8642 0.4892
0.2500 0.7500 0.5000
0.5000 0.5000 0.0000

=====

No. 9
ZnNi2Rh, relaxed, DFT GGA-PBE; space-group type = No. 44; raw total energy = -20.44 eV/cell
1.0
-1.3760 2.1405 4.2370
1.3760 -2.1405 4.2370
1.3760 2.1405 -4.2370
Zn Ni Rh
1 2 1
direct
0.0000 0.0000 0.0000
0.2453 0.7453 0.5000
0.4817 0.4817 0.0000
0.7362 0.2362 0.5000

=====

No. 10
YNi2W, relaxed, DFT GGA-PBE; space-group type = No. 166; energy above the most stable polymorph in this dataset = 0 meV per atom; raw total energy = -31.26 eV/cell
1.0
2.0822 1.2022 4.8213
-2.0822 1.2022 4.8213
0.0000 -2.4044 4.8213
Y Ni W
1 2 1
direct
0.0000 0.0000 0.0000
0.1980 0.1980 0.1980
0.8020 0.8020 0.8020
0.5000 0.5000 0.5000

=====

No. 11
In2PtRhPb, relaxed, DFT GGA-PBE; space-group type = No. 123; raw total energy = -20.23 eV/cell
1.0
5.0820 0.0000 0.0000
0.0000 5.0820 0.0000
0.0000 0.0000 5.3026
In Pt Rh Pb
2 1 1 1
direct
0.0000 0.5000 0.0000
0.5000 0.0000 0.0000
0.0000 0.0000 0.0000
0.5000 0.5000 0.5000
0.0000 0.0000 0.5000

=====

No. 12
YHo8In2, relaxed, DFT GGA-PBE; space-group type = No. 12; raw total energy = -48.91 eV/cell
1.0
4.4100 -7.5666 0.0000
4.4100 7.5666 0.0000
-2.4401 0.0000 5.0546
Y Ho In
1 8 2
direct
0.0000 0.0000 0.0000
0.0947 0.3249 0.6256
0.2158 0.7842 0.0000
0.3249 0.0947 0.6256
0.4066 0.4066 0.2035
0.5934 0.5934 0.7965
0.6751 0.9053 0.3744
0.7842 0.2158 0.0000
0.9053 0.6751 0.3744
0.3070 0.6930 0.5000
0.6930 0.3070 0.5000